No. 1
Crystalline MgTlPAu2 at its relaxed geometry. Source: the Alexandria database, functional PBE.

## Properties
For the magnetization, the calculation gives 0.000 μB/f.u. For the total energy, the calculation gives -12.06 eV for the cell shown. As for the energy relative to the elements: 774 meV/atom. The value obtained for the density of states at the Fermi level is 3.0 states/eV per cell. For the volume, the calculation gives 28.39 Å³ per atom.

Unit cell a=5.235 b=5.235 c=5.180 alpha=90.00 beta=90.00 gamma=90.00
Space group P4/mmm (No. 123)
Unique sites:
Mg: 0.000 0.000 0.000 (multiplicity 1)
Tl: 0.500 0.500 0.500 (multiplicity 1)
P: 0.500 0.500 0.000 (multiplicity 1)
Au: 0.000 0.500 0.500 (multiplicity 2)



No. 2
Crystalline MgPaAu3 at its relaxed geometry. Source: the Alexandria database, functional PBE.

## Properties
For the magnetization, the calculation gives 0.706 μB/f.u. For the total energy, the calculation gives -89.66 eV for the cell shown. As for the energy relative to the elements: -298 meV/atom. The value obtained for the density of states at the Fermi level is 22.9 states/eV per cell. For the volume, the calculation gives 22.16 Å³ per atom.

Unit cell a=17.558 b=5.186 c=5.081 alpha=90.00 beta=106.69 gamma=90.00
Space group C2/m (No. 12)
Unique sites:
Mg: 0.130 0.000 0.380 (multiplicity 4)
Pa: 0.110 0.500 0.861 (multiplicity 4)
Au: 0.032 0.000 0.782 (multiplicity 4)
Au: 0.196 0.500 0.446 (multiplicity 4)
Au: 0.208 0.000 0.958 (multiplicity 4)



No. 3
Crystalline MgPaAu4 at its relaxed geometry. Source: the Alexandria database, functional PBE.

## Properties
For the magnetization, the calculation gives 0.000 μB/f.u. For the energy relative to the lowest polymorph listed for this composition, the calculation gives 18.08 kJ/mol of atoms. For the total energy, the calculation gives -25.57 eV for the cell shown. As for the energy relative to the elements: -228 meV/atom. The value obtained for the density of states at the Fermi level is 5.0 states/eV per cell. For the volume, the calculation gives 23.40 Å³ per atom.

Unit cell a=4.555 b=4.555 c=6.770 alpha=90.00 beta=90.00 gamma=90.00
Space group P4/mmm (No. 123)
Unique sites:
Mg: 0.000 0.000 0.000 (multiplicity 1)
Pa: 0.500 0.500 0.500 (multiplicity 1)
Au: 0.000 0.500 0.224 (multiplicity 4)



No. 4
Crystalline MgPaAu at its relaxed geometry. Source: the Alexandria database, functional PBE.

## Properties
For the magnetization, the calculation gives 0.522 μB/f.u. For the energy relative to the lowest polymorph listed for this composition, the calculation gives 2.81 kJ/mol of atoms. For the total energy, the calculation gives -14.82 eV for the cell shown. As for the energy relative to the elements: -152 meV/atom. The value obtained for the density of states at the Fermi level is 4.8 states/eV per cell. For the volume, the calculation gives 21.82 Å³ per atom.

Unit cell a=4.8543 b=4.8543 c=3.2076 alpha=90.00 beta=90.00 gamma=120.00
Space group P-6m2 (No. 187)
Unique sites:
Mg: 0.0000 0.0000 0.0000 (multiplicity 1)
Pa: 0.3333 0.6667 0.5000 (multiplicity 1)
Au: 0.6667 0.3333 0.0000 (multiplicity 1)



No. 5
Crystalline MgPaAu at its relaxed geometry. Source: the Alexandria database, functional PBE.

## Properties
For the magnetization, the calculation gives 0.001 μB/f.u. For the energy relative to the lowest polymorph listed for this composition, the calculation gives 12.09 kJ/mol of atoms. For the total energy, the calculation gives -58.14 eV for the cell shown. As for the energy relative to the elements: -55 meV/atom. The value obtained for the density of states at the Fermi level is 14.3 states/eV per cell. For the volume, the calculation gives 25.66 Å³ per atom.

Unit cell a=6.753 b=6.753 c=6.753 alpha=90.00 beta=90.00 gamma=90.00
Space group F-43m (No. 216)
Unique sites:
Mg: 0.000 0.000 0.000 (multiplicity 4)
Pa: 0.000 0.000 0.500 (multiplicity 4)
Au: 0.250 0.250 0.750 (multiplicity 4)



No. 6
Crystalline MgPaAu4 at its relaxed geometry. Source: the Alexandria database, functional PBE.

## Properties
For the magnetization, the calculation gives 0.000 μB/f.u. For the energy relative to the lowest polymorph listed for this composition, the calculation gives 0.00 kJ/mol of atoms. For the total energy, the calculation gives -53.38 eV for the cell shown. As for the energy relative to the elements: -415 meV/atom. The value obtained for the density of states at the Fermi level is 10.7 states/eV per cell. For the volume, the calculation gives 20.24 Å³ per atom.

Unit cell a=9.696 b=3.635 c=7.404 alpha=90.00 beta=111.48 gamma=90.00
Space group C2/m (No. 12)
Unique sites:
Mg: 0.000 0.000 0.000 (multiplicity 2)
Pa: 0.000 0.000 0.500 (multiplicity 2)
Au: 0.161 0.500 0.317 (multiplicity 4)
Au: 0.164 0.500 0.843 (multiplicity 4)



No. 7
Crystalline Mg4PaAu5 at its relaxed geometry. Source: the Alexandria database, functional PBE.

## Properties
For the magnetization, the calculation gives 0.835 μB/f.u. For the total energy, the calculation gives -37.67 eV for the cell shown. As for the energy relative to the elements: -541 meV/atom. The value obtained for the density of states at the Fermi level is 6.8 states/eV per cell. For the volume, the calculation gives 19.01 Å³ per atom.

Unit cell a=3.313 b=3.313 c=17.314 alpha=90.00 beta=90.00 gamma=90.00
Space group P4/mmm (No. 123)
Unique sites:
Mg: 0.000 0.000 0.095 (multiplicity 2)
Mg: 0.000 0.000 0.284 (multiplicity 2)
Pa: 0.000 0.000 0.500 (multiplicity 1)
Au: 0.500 0.500 0.000 (multiplicity 1)
Au: 0.500 0.500 0.189 (multiplicity 2)
Au: 0.500 0.500 0.381 (multiplicity 2)



No. 8
Crystalline MgPaAu at its relaxed geometry. Source: the Alexandria database, functional PBE.

## Properties
For the magnetization, the calculation gives 0.839 μB/f.u. For the energy relative to the lowest polymorph listed for this composition, the calculation gives 0.00 kJ/mol of atoms. For the total energy, the calculation gives -29.82 eV for the cell shown. As for the energy relative to the elements: -181 meV/atom. The value obtained for the density of states at the Fermi level is 8.4 states/eV per cell. For the volume, the calculation gives 21.71 Å³ per atom.

Unit cell a=3.185 b=3.185 c=12.843 alpha=90.00 beta=90.00 gamma=90.00
Space group I4mm (No. 107)
Unique sites:
Mg: 0.000 0.000 0.000 (multiplicity 2)
Pa: 0.000 0.000 0.698 (multiplicity 2)
Au: 0.000 0.000 0.368 (multiplicity 2)



No. 9
Crystalline MgPaAu at its relaxed geometry. Source: the Alexandria database, functional PBE.

## Properties
For the magnetization, the calculation gives 0.000 μB/f.u. For the energy relative to the lowest polymorph listed for this composition, the calculation gives 20.76 kJ/mol of atoms. For the total energy, the calculation gives -28.53 eV for the cell shown. As for the energy relative to the elements: 34 meV/atom. The value obtained for the density of states at the Fermi level is 8.9 states/eV per cell. For the volume, the calculation gives 21.28 Å³ per atom.

Unit cell a=4.6709 b=4.6709 c=6.7561 alpha=90.00 beta=90.00 gamma=120.00
Space group P-3m1 (No. 164)
Unique sites:
Mg: 0.0000 0.0000 0.2046 (multiplicity 2)
Pa: 0.3333 0.6667 0.4307 (multiplicity 2)
Au: 0.3333 0.6667 0.8982 (multiplicity 2)



No. 10
Crystalline MgPaAu2 at its relaxed geometry. Source: the Alexandria database, functional PBE.

## Properties
For the magnetization, the calculation gives 0.723 μB/f.u. For the total energy, the calculation gives -19.41 eV for the cell shown. As for the energy relative to the elements: -440 meV/atom. The value obtained for the density of states at the Fermi level is 5.1 states/eV per cell. For the volume, the calculation gives 20.35 Å³ per atom.

Unit cell a=3.281 b=3.281 c=7.565 alpha=90.00 beta=90.00 gamma=90.00
Space group P4/mmm (No. 123)
Unique sites:
Mg: 0.000 0.000 0.000 (multiplicity 1)
Pa: 0.000 0.000 0.500 (multiplicity 1)
Au: 0.500 0.500 0.224 (multiplicity 2)



No. 11
Crystalline MgPaPdAu at its relaxed geometry. Source: the Alexandria database, functional PBE.

## Properties
For the magnetization, the calculation gives 0.023 μB/f.u. For the total energy, the calculation gives -85.70 eV for the cell shown. As for the energy relative to the elements: -466 meV/atom. The value obtained for the density of states at the Fermi level is 22.9 states/eV per cell. For the volume, the calculation gives 20.63 Å³ per atom.

Unit cell a=6.911 b=6.911 c=6.911 alpha=90.00 beta=90.00 gamma=90.00
Space group F-43m (No. 216)
Unique sites:
Mg: 0.000 0.000 0.000 (multiplicity 4)
Pa: 0.000 0.000 0.500 (multiplicity 4)
Pd: 0.250 0.250 0.250 (multiplicity 4)
Au: 0.250 0.250 0.750 (multiplicity 4)



No. 12
Crystalline MgPaPtAu at its relaxed geometry. Source: the Alexandria database, functional PBE.

## Properties
For the magnetization, the calculation gives 0.002 μB/f.u. For the total energy, the calculation gives -92.04 eV for the cell shown. As for the energy relative to the elements: -650 meV/atom. The value obtained for the density of states at the Fermi level is 20.8 states/eV per cell. For the volume, the calculation gives 20.56 Å³ per atom.

Unit cell a=6.903 b=6.903 c=6.903 alpha=90.00 beta=90.00 gamma=90.00
Space group F-43m (No. 216)
Unique sites:
Mg: 0.000 0.000 0.000 (multiplicity 4)
Pa: 0.000 0.000 0.500 (multiplicity 4)
Pt: 0.250 0.250 0.250 (multiplicity 4)
Au: 0.250 0.250 0.750 (multiplicity 4)



- What is the energy relative to the elements in the first record?
  774 meV/atom